DFT (PBE) results for Al2CuAu after structural relaxation.

Computed properties:
VASP energy ... -3.94 eV per atom
Total magnetic moment ... 0.0 μB per formula unit
D(E_F) ... 1.3 states/eV/f.u.

```
data_Al2CuAu
_space_group_name_H-M_alt 'C 1 m 1'
_space_group_IT_number 8
_cell_length_a 8.807
_cell_length_b 3.301
_cell_length_c 4.379
_cell_angle_alpha 90.00
_cell_angle_beta 102.42
_cell_angle_gamma 90.00
loop_
_space_group_symop_operation_xyz
'x,y,z'
'x,-y,z'
'x+1/2,y+1/2,z'
'x+1/2,-y+1/2,z'
loop_
_atom_site_label
_atom_site_fract_x
_atom_site_fract_y
_atom_site_fract_z
Al1 0.000 0.000 0.000
Al2 0.244 0.000 0.686
Cu1 0.239 0.500 0.162
Au1 0.002 0.500 0.487
```